#a
## LaPrSb2 (PBE-GGA)

Data for a relaxed LaPrSb2 crystal.

Summary:
Space group: Pmmn

Cell: 4.5951 6.4919 9.1855 Å, 90.00 90.00 90.00°
Element x y z (fractional)
La 0.2500 0.2500 0.1260
La 0.7500 0.7500 0.8740
Pr 0.2500 0.2500 0.6242
Pr 0.7500 0.7500 0.3758
Sb 0.2500 0.7500 0.1268
Sb 0.2500 0.7500 0.6232
Sb 0.7500 0.2500 0.3768
Sb 0.7500 0.2500 0.8732

***

#b
## LaPrSb2 (PBE-GGA)

Data for a relaxed LaPrSb2 crystal.

Summary:
Space group: Pnnm

Cell: 7.8517 7.9693 4.5426 Å, 90.00 90.00 90.00°
Element x y z (fractional)
La 0.0000 0.0000 0.0000
La 0.5000 0.5000 0.5000
Pr 0.0000 0.5000 0.0000
Pr 0.5000 0.0000 0.5000
Sb 0.1663 0.2519 0.5000
Sb 0.3337 0.7519 0.0000
Sb 0.6663 0.2481 0.0000
Sb 0.8337 0.7481 0.5000

***

#c
## LaPrSb2 (PBE-GGA)

Data for a relaxed LaPrSb2 crystal.

Summary:
Space group: R3m

Cell: 8.2681 8.2681 8.2681 Å, 31.81 31.81 31.81°
Element x y z (fractional)
La 0.0000 0.0000 0.0000
Pr 0.8290 0.8290 0.8290
Sb 0.2459 0.2459 0.2459
Sb 0.4163 0.4163 0.4163

***

The most stable of them is #a.

***

#a
## La3PrSb3 (PBE-GGA)

Data for a relaxed La3PrSb3 crystal.

Summary:
Space group: P2_13

Cell: 9.6777 9.6777 9.6777 Å, 90.00 90.00 90.00°
Element x y z (fractional)
La 0.0698 0.4302 0.5698
La 0.1791 0.1791 0.1791
La 0.1789 0.8211 0.3211
La 0.3211 0.1789 0.8211
La 0.3209 0.8209 0.6791
La 0.4302 0.5698 0.0698
La 0.5698 0.0698 0.4302
La 0.6791 0.3209 0.8209
La 0.6789 0.6789 0.6789
La 0.8211 0.3211 0.1789
La 0.8209 0.6791 0.3209
La 0.9302 0.9302 0.9302
Pr 0.0702 0.5702 0.9298
Pr 0.4298 0.4298 0.4298
Pr 0.5702 0.9298 0.0702
Pr 0.9298 0.0702 0.5702
Sb 0.0002 0.2511 0.8733
Sb 0.9998 0.7511 0.6267
Sb 0.1267 0.5002 0.2489
Sb 0.2489 0.1267 0.5002
Sb 0.2511 0.8733 0.0002
Sb 0.3733 0.4998 0.7489
Sb 0.5002 0.2489 0.1267
Sb 0.4998 0.7489 0.3733
Sb 0.6267 0.9998 0.7511
Sb 0.7489 0.3733 0.4998
Sb 0.7511 0.6267 0.9998
Sb 0.8733 0.0002 0.2511

***

#b
## La3PrSb3 (PBE-GGA)

Data for a relaxed La3PrSb3 crystal.

Summary:
Space group: R-3

Cell: 8.4648 8.4648 8.4648 Å, 68.28 68.28 68.28°
Element x y z (fractional)
La 0.0947 0.8145 0.3554
La 0.1855 0.6446 0.9053
La 0.3554 0.0947 0.8145
La 0.6446 0.9053 0.1855
La 0.8145 0.3554 0.0947
La 0.9053 0.1855 0.6446
Pr 0.3327 0.3327 0.3327
Pr 0.6673 0.6673 0.6673
Sb 0.0720 0.4607 0.7006
Sb 0.2994 0.9280 0.5393
Sb 0.4607 0.7006 0.0720
Sb 0.5393 0.2994 0.9280
Sb 0.7006 0.0720 0.4607
Sb 0.9280 0.5393 0.2994

***

The most stable of them is #a.

***

#a
## La4Pr5Sc (PBE-GGA)

Data for a relaxed La4Pr5Sc crystal.

Summary:
Space group: C2/m

Cell: 8.9889 8.9889 11.7877 Å, 109.14 109.14 23.17°
Element x y z (fractional)
La 0.0895 0.0895 0.3020
La 0.3962 0.3962 0.2078
La 0.6038 0.6038 0.7922
La 0.9105 0.9105 0.6980
Pr 0.1921 0.1921 0.0883
Pr 0.2023 0.2023 0.6059
Pr 0.5000 0.5000 0.0000
Pr 0.7977 0.7977 0.3941
Pr 0.8079 0.8079 0.9117
Sc 0.5000 0.5000 0.5000

***

#b
## La4Pr5Sc (PBE-GGA)

Data for a relaxed La4Pr5Sc crystal.

Summary:
Space group: P4/mmm

Cell: 4.3253 4.3253 18.8173 Å, 90.00 90.00 90.00°
Element x y z (fractional)
La 0.0000 0.0000 0.1049
La 0.0000 0.0000 0.2998
La 0.0000 0.0000 0.7002
La 0.0000 0.0000 0.8951
Pr 0.5000 0.5000 0.0000
Pr 0.5000 0.5000 0.2035
Pr 0.5000 0.5000 0.4084
Pr 0.5000 0.5000 0.5916
Pr 0.5000 0.5000 0.7965
Sc 0.0000 0.0000 0.5000

***

The most stable of them is #a.

***

#a
## La5Pr4Sc (PBE-GGA)

Data for a relaxed La5Pr4Sc crystal.

Summary:
Space group: P4/mmm

Cell: 4.3043 4.3043 19.0703 Å, 90.00 90.00 90.00°
Element x y z (fractional)
La 0.0000 0.0000 0.0000
La 0.0000 0.0000 0.2000
La 0.0000 0.0000 0.4087
La 0.0000 0.0000 0.5913
La 0.0000 0.0000 0.8000
Pr 0.5000 0.5000 0.1014
Pr 0.5000 0.5000 0.3010
Pr 0.5000 0.5000 0.6990
Pr 0.5000 0.5000 0.8986
Sc 0.5000 0.5000 0.5000

***

#b
## La5Pr4Sc (PBE-GGA)

Data for a relaxed La5Pr4Sc crystal.

Summary:
Space group: C2/m

Cell: 9.0478 9.0478 11.6854 Å, 109.26 109.26 23.20°
Element x y z (fractional)
La 0.0000 0.0000 0.0000
La 0.2967 0.2967 0.3940
La 0.3084 0.3084 0.9121
La 0.6916 0.6916 0.0879
La 0.7033 0.7033 0.6060
Pr 0.1047 0.1047 0.7941
Pr 0.4161 0.4161 0.7005
Pr 0.5839 0.5839 0.2995
Pr 0.8953 0.8953 0.2059
Sc 0.0000 0.0000 0.5000

***

The most stable of them is #b.